Compound: LaTlSiAg2
Source: Alexandria
Functional: GGA-PBE
Structure: optimized geometry

```
data_LaTlSiAg2
_cell_length_a 5.1353
_cell_length_b 5.1353
_cell_length_c 6.0896
_cell_angle_alpha 90.00
_cell_angle_beta 90.00
_cell_angle_gamma 90.00
_space_group_name_H-M_alt 'P 4/m m m'
_space_group_IT_number 123
_space_group_name_Hall '-P 4 2'
loop_
_atom_site_label
_atom_site_type_symbol
_atom_site_fract_x
_atom_site_fract_y
_atom_site_fract_z
_atom_site_occupancy
La1 La 0.0000 0.0000 0.0000 1
Tl1 Tl 0.0000 0.0000 0.5000 1
Si1 Si 0.5000 0.5000 0.0000 1
Ag1 Ag 0.0000 0.5000 0.5000 1
```

Summary:
The crystal system is tetragonal. The calculation puts the density of states at the Fermi level at 0.938 states/eV per atom. As for the raw total energy: -2.99 eV per atom.